DFT (GGA-PBE) results for a relaxed structure of Pm2YTm3Se6.

Computed properties:
Uncorrected energy: -71.18 eV/cell
SG: C2/m, No. 12
Formation energy (no corrections): -1.741 eV per atom

a = 4.051 Å, b = 8.268 Å, c = 9.186 Å
α = 104.38°, β = 102.74°, γ = 90.00°
Fractional positions:
Se: 0.333 0.928 0.666
Tm: 0.831 0.167 0.662
Se: 0.004 0.747 0.008
Pm: 0.832 0.664 0.664
Y: 0.500 0.000 0.000
Pm: 0.168 0.336 0.336
Se: 0.996 0.253 0.992
Tm: 0.500 0.500 0.000
Se: 0.338 0.407 0.676
Se: 0.662 0.593 0.324
Se: 0.667 0.072 0.334
Tm: 0.169 0.833 0.338

---

DFT (GGA-PBE) results for a relaxed structure of Pm2YTmSe4.

Computed properties:
Uncorrected energy: -48.60 eV/cell
SG: P2/m, No. 10
Formation energy (no corrections): -1.778 eV per atom

a = 4.058 Å, b = 7.079 Å, c = 7.293 Å
α = 108.67°, β = 90.00°, γ = 90.00°
Fractional positions:
Se: 0.500 0.249 0.237
Y: 0.000 0.000 0.000
Pm: 0.500 0.000 0.500
Se: 0.000 0.259 0.765
Se: 0.000 0.741 0.235
Se: 0.500 0.751 0.763
Tm: 0.500 0.500 0.000
Pm: 0.000 0.500 0.500

---

DFT (GGA-PBE) results for a relaxed structure of Pm2Y3TmSe6.

Computed properties:
Uncorrected energy: -75.53 eV/cell
SG: C2/m, No. 12
Formation energy (no corrections): -1.771 eV per atom

a = 4.094 Å, b = 8.269 Å, c = 9.187 Å
α = 102.80°, β = 102.88°, γ = 90.00°
Fractional positions:
Se: 0.997 0.243 0.994
Se: 0.003 0.757 0.006
Y: 0.829 0.166 0.657
Se: 0.662 0.075 0.325
Pm: 0.831 0.663 0.661
Se: 0.663 0.589 0.326
Tm: 0.500 0.000 0.000
Se: 0.337 0.411 0.674
Se: 0.338 0.925 0.675
Y: 0.171 0.834 0.343
Pm: 0.169 0.337 0.339
Y: 0.500 0.500 0.000

---

DFT (GGA-PBE) results for a relaxed structure of PmU2Se5.

Computed properties:
Uncorrected energy: -110.72 eV/cell
SG: I4/mcm, No. 140
Formation energy (no corrections): -1.326 eV per atom
Polymorph energy (0 for the lowest one): 11 meV per atom

a = 7.421 Å, b = 7.421 Å, c = 8.604 Å
α = 115.55°, β = 115.55°, γ = 90.00°
Last column: magnetic moment on the atom in μB.
Fractional positions:
Se: 0.000 0.000 0.000  -0.02
Se: 0.184 0.026 0.709  -0.01
Pm: 0.750 0.750 0.500  0.00
Se: 0.816 0.974 0.291  -0.01
U: 0.117 0.383 0.000  0.48
Se: 0.974 0.474 0.291  -0.01
Se: 0.474 0.316 0.291  -0.01
U: 0.617 0.117 0.000  0.48
Se: 0.026 0.526 0.709  -0.01
Se: 0.316 0.816 0.291  -0.01
Pm: 0.250 0.250 0.500  0.00
U: 0.383 0.883 0.000  0.48
U: 0.883 0.617 0.000  0.48
Se: 0.500 0.500 0.000  -0.02
Se: 0.684 0.184 0.709  -0.01
Se: 0.526 0.684 0.709  -0.01

---

DFT (GGA-PBE) results for a relaxed structure of PmUSe3.

Computed properties:
Uncorrected energy: -63.62 eV/cell
SG: Cmmm, No. 65
Formation energy (no corrections): -1.064 eV per atom
Polymorph energy (0 for the lowest one): 449 meV per atom

a = 5.456 Å, b = 7.085 Å, c = 9.248 Å
α = 112.52°, β = 90.00°, γ = 90.00°
Last column: magnetic moment on the atom in μB.
Fractional positions:
U: 0.500 0.116 0.231  2.11
Se: 0.500 0.000 0.500  -0.04
U: 0.500 0.884 0.769  2.11
Se: 0.500 0.265 0.000  -0.08
Se: 0.500 0.500 0.500  -0.04
Se: 0.000 0.121 0.243  -0.04
Se: 0.000 0.879 0.757  -0.04
Pm: 0.000 0.283 0.566  0.12
Pm: 0.000 0.717 0.434  0.12
Se: 0.500 0.735 0.000  -0.08

---

DFT (GGA-PBE) results for a relaxed structure of Pm2U2Se7.

Computed properties:
Uncorrected energy: -72.52 eV/cell
SG: Imm2, No. 44
Formation energy (no corrections): -1.459 eV per atom

a = 4.110 Å, b = 8.962 Å, c = 8.962 Å
α = 60.55°, β = 76.74°, γ = 76.74°
Last column: magnetic moment on the atom in μB.
Fractional positions:
Pm: 0.260 0.328 0.152  0.00
Se: 0.820 0.067 0.293  -0.04
Se: 0.180 0.707 0.933  -0.04
Pm: 0.740 0.848 0.672  0.00
U: 0.500 0.330 0.670  2.11
Se: 0.868 0.415 0.849  -0.06
Se: 0.500 0.011 0.989  -0.10
Se: 0.606 0.501 0.286  -0.06
U: 0.000 0.782 0.218  2.07
Se: 0.132 0.151 0.585  -0.06
Se: 0.394 0.714 0.499  -0.06